No. 1
## GdPaIr4 (PBE)

Data for a relaxed GdPaIr4 crystal.

Unit cell a=7.595 b=7.595 c=7.595 alpha=90.00 beta=90.00 gamma=90.00
Space group F-43m (No. 216)
Inequivalent atoms, fractional coordinates:
Gd  0.000  0.000  0.000
Pa  0.250  0.250  0.750
Ir  0.125  0.125  0.375

Output
Calculated formation energy: -0.762 eV per atom
Uncorrected energy: -10.60 eV per atom
Total magnetization: 7.02 μB per formula unit

=====

No. 2
## GdPaIr2 (PBE)

Data for a relaxed GdPaIr2 crystal.

Unit cell a=3.483 b=3.483 c=7.035 alpha=90.00 beta=90.00 gamma=90.00
Space group P4/mmm (No. 123)
Inequivalent atoms, fractional coordinates:
Gd  0.000  0.000  0.000
Pa  0.000  0.000  0.500
Ir  0.500  0.500  0.282

Output
Calculated formation energy: -0.758 eV per atom
Energy relative to the lowest polymorph listed for this composition: 11.7 meV/atom
Uncorrected energy: -11.08 eV per atom
Total magnetization: 7.26 μB per formula unit

=====

No. 3
## GdPaIr2 (PBE)

Data for a relaxed GdPaIr2 crystal.

Unit cell a=6.933 b=6.933 c=6.933 alpha=90.00 beta=90.00 gamma=90.00
Space group Fm-3m (No. 225)
Inequivalent atoms, fractional coordinates:
Gd  0.000  0.000  0.000
Pa  0.000  0.000  0.500
Ir  0.250  0.250  0.250

Output
Calculated formation energy: -0.669 eV per atom
Energy relative to the lowest polymorph listed for this composition: 99.9 meV/atom
Uncorrected energy: -10.99 eV per atom
Total magnetization: 7.51 μB per formula unit

=====

No. 4
## Gd2PaIr (PBE)

Data for a relaxed Gd2PaIr crystal.

Unit cell a=3.2978 b=3.2978 c=32.0901 alpha=90.00 beta=90.00 gamma=120.00
Space group R-3m (No. 166, hexagonal axes)
Inequivalent atoms, fractional coordinates:
Gd  0.0000  0.0000  0.1005
Pa  0.0000  0.0000  0.0000
Ir  0.0000  0.0000  0.5000

Output
Calculated formation energy: 0.129 eV per atom
Uncorrected energy: -11.50 eV per atom
Total magnetization: 13.95 μB per formula unit

=====

No. 5
## GdPaIrPd (PBE)

Data for a relaxed GdPaIrPd crystal.

Unit cell a=6.987 b=6.987 c=6.987 alpha=90.00 beta=90.00 gamma=90.00
Space group F-43m (No. 216)
Inequivalent atoms, fractional coordinates:
Gd  0.000  0.000  0.000
Pa  0.000  0.000  0.500
Ir  0.250  0.250  0.750
Pd  0.250  0.250  0.250

Output
Calculated formation energy: -0.626 eV per atom
Uncorrected energy: -10.03 eV per atom
Total magnetization: 7.70 μB per formula unit

=====

No. 6
## GdPaIrRh (PBE)

Data for a relaxed GdPaIrRh crystal.

Unit cell a=6.924 b=6.924 c=6.924 alpha=90.00 beta=90.00 gamma=90.00
Space group F-43m (No. 216)
Inequivalent atoms, fractional coordinates:
Gd  0.000  0.000  0.000
Pa  0.000  0.000  0.500
Ir  0.250  0.250  0.250
Rh  0.250  0.250  0.750

Output
Calculated formation energy: -0.674 eV per atom
Uncorrected energy: -10.62 eV per atom
Total magnetization: 7.60 μB per formula unit

=====

No. 7
## GdPaIrRu (PBE)

Data for a relaxed GdPaIrRu crystal.

Unit cell a=6.895 b=6.895 c=6.895 alpha=90.00 beta=90.00 gamma=90.00
Space group F-43m (No. 216)
Inequivalent atoms, fractional coordinates:
Gd  0.000  0.000  0.000
Pa  0.000  0.000  0.500
Ir  0.250  0.250  0.750
Ru  0.250  0.250  0.250

Output
Calculated formation energy: -0.512 eV per atom
Uncorrected energy: -10.94 eV per atom
Total magnetization: 7.14 μB per formula unit

=====

No. 8
## GdPaZnIr (PBE)

Data for a relaxed GdPaZnIr crystal.

Unit cell a=7.018 b=7.018 c=7.018 alpha=90.00 beta=90.00 gamma=90.00
Space group F-43m (No. 216)
Inequivalent atoms, fractional coordinates:
Gd  0.000  0.000  0.000
Pa  0.000  0.000  0.500
Zn  0.250  0.250  0.750
Ir  0.250  0.250  0.250

Output
Calculated formation energy: -0.359 eV per atom
Uncorrected energy: -8.79 eV per atom
Total magnetization: 7.50 μB per formula unit

=====

No. 9
## Gd2IrPb (PBE)

Data for a relaxed Gd2IrPb crystal.

Unit cell a=4.902 b=4.902 c=4.025 alpha=90.00 beta=90.00 gamma=90.00
Space group P4/mmm (No. 123)
Inequivalent atoms, fractional coordinates:
Gd  0.000  0.500  0.000
Ir  0.000  0.000  0.500
Pb  0.500  0.500  0.500

Output
Calculated formation energy: -0.478 eV per atom
Energy relative to the lowest polymorph listed for this composition: 182.7 meV/atom
Uncorrected energy: -10.66 eV per atom
Total magnetization: 14.04 μB per formula unit

=====

No. 10
## Gd2IrPb (PBE)

Data for a relaxed Gd2IrPb crystal.

Unit cell a=3.497 b=3.497 c=8.234 alpha=90.00 beta=90.00 gamma=90.00
Space group P4/mmm (No. 123)
Inequivalent atoms, fractional coordinates:
Gd  0.000  0.000  0.203
Ir  0.500  0.500  0.000
Pb  0.500  0.500  0.500

Output
Calculated formation energy: -0.661 eV per atom
Energy relative to the lowest polymorph listed for this composition: 0.0 meV/atom
Uncorrected energy: -10.84 eV per atom
Total magnetization: 14.13 μB per formula unit

=====

No. 11
## Gd2IrPb (PBE)

Data for a relaxed Gd2IrPb crystal.

Unit cell a=7.331 b=7.331 c=7.331 alpha=90.00 beta=90.00 gamma=90.00
Space group Fm-3m (No. 225)
Inequivalent atoms, fractional coordinates:
Gd  0.250  0.250  0.250
Ir  0.000  0.000  0.000
Pb  0.000  0.000  0.500

Output
Calculated formation energy: -0.461 eV per atom
Energy relative to the lowest polymorph listed for this composition: 199.3 meV/atom
Uncorrected energy: -10.64 eV per atom
Total magnetization: 14.12 μB per formula unit

=====

No. 12
## PmGdIrPb (PBE)

Data for a relaxed PmGdIrPb crystal.

Unit cell a=7.391 b=7.391 c=7.391 alpha=90.00 beta=90.00 gamma=90.00
Space group F-43m (No. 216)
Inequivalent atoms, fractional coordinates:
Pm  0.000  0.000  0.000
Gd  0.000  0.000  0.500
Ir  0.250  0.250  0.750
Pb  0.250  0.250  0.250

Output
Calculated formation energy: -0.429 eV per atom
Uncorrected energy: -8.28 eV per atom
Total magnetization: 7.06 μB per formula unit

=====

No. 13
## GdPuIrPb (PBE)

Data for a relaxed GdPuIrPb crystal.

Unit cell a=7.322 b=7.322 c=7.322 alpha=90.00 beta=90.00 gamma=90.00
Space group F-43m (No. 216)
Inequivalent atoms, fractional coordinates:
Gd  0.000  0.000  0.000
Pu  0.000  0.000  0.500
Ir  0.250  0.250  0.250
Pb  0.250  0.250  0.750

Output
Calculated formation energy: -0.242 eV per atom
Uncorrected energy: -10.49 eV per atom
Total magnetization: 12.19 μB per formula unit

=====

No. 14
## TbGdIrPb (PBE)

Data for a relaxed TbGdIrPb crystal.

Unit cell a=7.312 b=7.312 c=7.312 alpha=90.00 beta=90.00 gamma=90.00
Space group F-43m (No. 216)
Inequivalent atoms, fractional coordinates:
Tb  0.000  0.000  0.000
Gd  0.000  0.000  0.500
Ir  0.250  0.250  0.250
Pb  0.250  0.250  0.750

Output
Calculated formation energy: -0.465 eV per atom
Uncorrected energy: -8.29 eV per atom
Total magnetization: 7.07 μB per formula unit

=====

No. 15
## GdTmIrPb (PBE)

Data for a relaxed GdTmIrPb crystal.

Unit cell a=7.252 b=7.252 c=7.252 alpha=90.00 beta=90.00 gamma=90.00
Space group F-43m (No. 216)
Inequivalent atoms, fractional coordinates:
Gd  0.000  0.000  0.000
Tm  0.000  0.000  0.500
Ir  0.250  0.250  0.750
Pb  0.250  0.250  0.250

Output
Calculated formation energy: -0.477 eV per atom
Uncorrected energy: -8.26 eV per atom
Total magnetization: 7.10 μB per formula unit

=====

No. 16
## GdIrPd2 (PBE)

Data for a relaxed GdIrPd2 crystal.

Unit cell a=4.145 b=4.145 c=4.080 alpha=90.00 beta=90.00 gamma=90.00
Space group P4/mmm (No. 123)
Inequivalent atoms, fractional coordinates:
Gd  0.000  0.000  0.000
Ir  0.500  0.500  0.000
Pd  0.000  0.500  0.500

Output
Calculated formation energy: -0.560 eV per atom
Uncorrected energy: -8.89 eV per atom
Total magnetization: 7.05 μB per formula unit